This record from Alexandria describes crystalline LaW at its relaxed geometry. The functional is GGA-PBE.

abc: 4.9783 6.4938 3.6290
angles: 90.00 90.00 112.54
With the nearest neighbours (Å) after each atom.
Element x y z (fractional)
La: 0.1403 0.2806 0.2500  7 W 3.19-3.54
La: 0.8597 0.7194 0.7500  7 W 3.19-3.54
W: 0.5700 0.1400 0.7500  2 W 2.47
W: 0.4300 0.8600 0.2500  2 W 2.47

Uncorrected energy: -8.385 eV/atom
SG: Cmcm, No. 63
Relative energy among the computed polymorphs: 211 meV/atom